1.
Here is a geometry-optimized Li3UCo2S6 structure from the Alexandria database. Energies are from PBE.

The value obtained for the energy relative to the elements, uncorrected is -0.97 eV/atom. The energy comes out at -0.4143 Ry/atom. The calculation puts the mass density at 4.91 g/cm3. Its volume is 192.6 Å³/cell.

Unit cell a=5.999 b=5.999 c=6.497 alpha=98.96 beta=98.96 gamma=119.93
Element x y z (fractional)
S 0.442 0.076 0.227
S 0.558 0.924 0.773
S 0.711 0.711 0.229
S 0.289 0.289 0.771
S 0.924 0.558 0.773
S 0.076 0.442 0.227
Li 0.839 0.161 0.500
Li 0.500 0.500 0.500
Li 0.161 0.839 0.500
U 0.000 0.000 0.000
Co 0.333 0.667 0.000
Co 0.667 0.333 0.000



2.
Here is a geometry-optimized LiYCo2S structure from the Alexandria database. Energies are from PBE.

The value obtained for the energy relative to the elements, uncorrected is -0.07 eV/atom. The energy comes out at -0.3980 Ry/atom. The calculation puts the mass density at 4.51 g/cm3. Its volume is 90.4 Å³/cell.

Unit cell a=4.225 b=5.066 c=4.225 alpha=90.00 beta=90.00 gamma=90.00
Element x y z (fractional)
S 0.000 0.000 0.000
Co 0.500 0.000 0.000
Co 0.000 0.000 0.500
Li 0.500 0.500 0.500
Y 0.000 0.500 0.000



3.
Here is a geometry-optimized Li3Zr3CoS8 structure from the Alexandria database. Energies are from PBE.

The value obtained for the energy relative to the elements, uncorrected is -1.29 eV/atom. The energy comes out at -0.4455 Ry/atom. The calculation puts the mass density at 3.65 g/cm3. Its volume is 277.8 Å³/cell.

Unit cell a=7.177 b=7.187 c=7.476 alpha=118.76 beta=90.00 gamma=119.96
Element x y z (fractional)
S 0.250 0.500 0.249
S 0.236 0.002 0.268
S 0.766 0.531 0.268
S 0.233 0.998 0.731
S 0.750 0.500 0.751
S 0.767 0.002 0.269
S 0.764 0.998 0.732
S 0.234 0.469 0.732
Zr 0.500 0.000 0.500
Zr 0.500 0.500 0.500
Zr 0.000 0.500 0.500
Li 0.000 0.500 0.000
Li 0.500 0.500 0.000
Li 0.000 0.000 0.000
Co 0.000 0.000 0.500



4.
Here is a geometry-optimized Li4Zr3CoS8 structure from the Alexandria database. Energies are from PBE.

The value obtained for the energy relative to the elements, uncorrected is -1.33 eV/atom. The energy comes out at -0.4348 Ry/atom. The calculation puts the mass density at 3.66 g/cm3. Its volume is 279.6 Å³/cell.

Unit cell a=7.228 b=7.458 c=7.228 alpha=119.00 beta=120.00 gamma=90.00
Element x y z (fractional)
S 0.246 0.258 0.002
S 0.750 0.751 0.501
S 0.756 0.258 0.512
S 0.244 0.742 0.488
S 0.244 0.742 0.998
S 0.756 0.258 0.002
S 0.754 0.742 0.998
S 0.250 0.249 0.499
Li 0.500 0.000 0.500
Li 0.000 0.000 0.500
Li 0.500 0.000 0.000
Li 0.000 0.000 0.000
Zr 0.500 0.500 0.500
Zr 0.000 0.500 0.500
Zr 0.500 0.500 0.000
Co 0.000 0.500 0.000